one.
Below is a geometry-optimized YCuP2O structure, with properties calculated at the PBE level.

DOS at the Fermi energy ... 1.2143 states/eV/atom
Total magnetic moment ... 0.0 μB per formula unit

abc: 5.432 5.432 4.120
angles: 90.00 90.00 90.00
Fractional positions:
Y 0.000 0.000 0.000
Cu 0.500 0.500 0.500
P 0.000 0.500 0.000
P 0.500 0.000 0.000
O 0.000 0.000 0.500

---

two.
Below is a geometry-optimized YCuP2O structure, with properties calculated at the PBE level.

DOS at the Fermi energy ... 0.7849 states/eV/atom
Total magnetic moment ... 0.0 μB per formula unit

abc: 4.594 4.594 3.875
angles: 90.00 90.00 90.00
Fractional positions:
Y 0.000 0.000 0.000
Cu 0.500 0.500 0.500
P 0.000 0.500 0.500
P 0.500 0.000 0.500
O 0.500 0.500 0.000

---

Ranked by calculated energy, most stable first: two, one.

---

one.
Below is a geometry-optimized YCuPO2 structure, with properties calculated at the PBE level.

DOS at the Fermi energy ... 0.6355 states/eV/atom
Total magnetic moment ... 1.9 μB per formula unit

abc: 4.187 4.187 6.057
angles: 90.00 90.00 90.00
Fractional positions:
Y 0.000 0.000 0.000
Cu 0.500 0.500 0.500
P 0.000 0.000 0.500
O 0.000 0.500 0.000
O 0.500 0.000 0.000

---

two.
Below is a geometry-optimized YCuPO2 structure, with properties calculated at the PBE level.

DOS at the Fermi energy ... 0.6385 states/eV/atom
Total magnetic moment ... 0.0 μB per formula unit

abc: 3.972 3.972 4.397
angles: 90.00 90.00 90.00
Fractional positions:
Y 0.000 0.000 0.000
Cu 0.500 0.500 0.500
P 0.500 0.500 0.000
O 0.000 0.500 0.500
O 0.500 0.000 0.500

---

Ranked by calculated energy, most stable first: two, one.

---

one.
Below is a geometry-optimized ZnCuP2O7 structure, with properties calculated at the PBE level.

DOS at the Fermi energy ... 0.0009 states/eV/atom
Total magnetic moment ... 1.0 μB per formula unit

abc: 5.433 6.382 7.648
angles: 81.06 89.06 71.94
Fractional positions:
Zn 0.170 0.341 0.358
Zn 0.830 0.659 0.642
Cu 0.220 0.843 0.825
Cu 0.780 0.157 0.175
P 0.277 0.801 0.381
P 0.322 0.311 0.906
P 0.678 0.689 0.094
P 0.723 0.199 0.619
O 0.106 0.047 0.322
O 0.108 0.649 0.427
O 0.144 0.549 0.831
O 0.196 0.134 0.889
O 0.418 0.725 0.205
O 0.419 0.303 0.097
O 0.469 0.785 0.527
O 0.531 0.215 0.473
O 0.581 0.697 0.903
O 0.582 0.275 0.795
O 0.804 0.866 0.111
O 0.856 0.451 0.169
O 0.892 0.351 0.573
O 0.894 0.953 0.678

---

two.
Below is a geometry-optimized ZnCuP2O7 structure, with properties calculated at the PBE level.

Total magnetic moment ... 1.0 μB per formula unit

abc: 5.390 5.390 4.617
angles: 101.61 101.61 100.80
Fractional positions:
Zn 0.000 0.000 0.000
Cu 0.621 0.379 0.000
P 0.110 0.482 0.591
P 0.518 0.890 0.409
O 0.253 0.320 0.775
O 0.328 0.672 0.500
O 0.363 0.043 0.230
O 0.680 0.747 0.225
O 0.690 0.071 0.718
O 0.929 0.310 0.282
O 0.957 0.637 0.770

---

Ranked by calculated energy, most stable first: one, two.

---

one.
Below is a geometry-optimized ZnCuP2O structure, with properties calculated at the PBE level.

DOS at the Fermi energy ... 0.4827 states/eV/atom
Total magnetic moment ... 0.0 μB per formula unit

abc: 4.860 4.860 3.500
angles: 90.00 90.00 90.00
Fractional positions:
Zn 0.000 0.000 0.000
Cu 0.500 0.500 0.500
P 0.000 0.500 0.000
P 0.500 0.000 0.000
O 0.000 0.000 0.500

---

two.
Below is a geometry-optimized ZnCuP2O structure, with properties calculated at the PBE level.

DOS at the Fermi energy ... 0.5892 states/eV/atom
Total magnetic moment ... 0.0 μB per formula unit

abc: 4.747 4.747 3.497
angles: 90.00 90.00 90.00
Fractional positions:
Zn 0.000 0.000 0.000
Cu 0.500 0.500 0.500
P 0.000 0.500 0.500
P 0.500 0.000 0.500
O 0.500 0.500 0.000

---

Ranked by calculated energy, most stable first: two, one.